*P*
! Ir2RhW | Alexandria | PBE | optimized geometry; values from VASP
! **Symmetry**: Fm-3m (225)
&SYSTEM
  ibrav = 0, nat = 4, ntyp = 3
/
ATOMIC_SPECIES
Ir 192.22 Ir.upf
Rh 102.91 Rh.upf
W 183.84 W.upf
CELL_PARAMETERS angstrom
0.000 3.115 3.115
3.115 0.000 3.115
3.115 3.115 0.000
ATOMIC_POSITIONS crystal
Ir 0.250 0.250 0.250
Ir 0.750 0.750 0.750
Rh 0.000 0.000 0.000
W 0.500 0.500 0.500



*Q*
! Ir2RhW | Alexandria | PBE | optimized geometry; values from VASP
! **Symmetry**: Pnma (62)
&SYSTEM
  ibrav = 0, nat = 16, ntyp = 3
/
ATOMIC_SPECIES
W 183.84 W.upf
Ir 192.22 Ir.upf
Rh 102.91 Rh.upf
CELL_PARAMETERS angstrom
4.402 0.000 0.000
0.000 4.814 0.000
0.000 0.000 11.158
ATOMIC_POSITIONS crystal
W 0.250 0.579 0.682
W 0.250 0.079 0.818
W 0.750 0.421 0.318
W 0.750 0.921 0.182
Ir 0.250 0.586 0.191
Ir 0.250 0.583 0.437
Ir 0.250 0.086 0.309
Ir 0.250 0.083 0.063
Ir 0.750 0.417 0.563
Ir 0.750 0.414 0.809
Ir 0.750 0.914 0.691
Ir 0.750 0.917 0.937
Rh 0.250 0.084 0.563
Rh 0.750 0.916 0.437
Rh 0.250 0.584 0.937
Rh 0.750 0.416 0.063



*R*
! Ir2RhW | Alexandria | PBE | optimized geometry; values from VASP
! **Symmetry**: P4/mmm (123)
&SYSTEM
  ibrav = 0, nat = 4, ntyp = 3
/
ATOMIC_SPECIES
Ir 192.22 Ir.upf
W 183.84 W.upf
Rh 102.91 Rh.upf
CELL_PARAMETERS angstrom
-2.982 1.752 -1.803
0.875 -1.899 -3.293
-2.336 -2.896 1.049
ATOMIC_POSITIONS crystal
Ir 0.500 0.500 0.000
Ir 0.000 0.000 0.000
W 0.000 0.500 0.500
Rh 0.500 0.000 0.500



*S*
! Ir2RhW | Alexandria | PBE | optimized geometry; values from VASP
! **Symmetry**: I4/mmm (139)
&SYSTEM
  ibrav = 0, nat = 4, ntyp = 3
/
ATOMIC_SPECIES
W 183.84 W.upf
Ir 192.22 Ir.upf
Rh 102.91 Rh.upf
CELL_PARAMETERS angstrom
-0.858 3.568 3.006
-1.601 -1.808 4.083
3.824 -1.050 -2.603
ATOMIC_POSITIONS crystal
W 0.750 0.250 0.500
Ir 0.500 0.500 0.000
Ir 0.000 0.000 0.000
Rh 0.250 0.750 0.500



Most stable structure: *R*



*P*
! Ir2RhW | Alexandria | PBE | optimized geometry; values from VASP
! **Symmetry**: R-3m (166)
&SYSTEM
  ibrav = 0, nat = 4, ntyp = 3
/
ATOMIC_SPECIES
Rh 102.91 Rh.upf
Ir 192.22 Ir.upf
W 183.84 W.upf
CELL_PARAMETERS angstrom
8.979 -1.387 -0.009
8.979 1.387 -0.009
8.767 0.000 2.383
ATOMIC_POSITIONS crystal
Rh 0.500 0.500 0.500
Ir 0.749 0.749 0.749
Ir 0.251 0.251 0.251
W 0.000 0.000 0.000



*Q*
! Ir2RhW | Alexandria | PBE | optimized geometry; values from VASP
! **Symmetry**: P4mm (99)
&SYSTEM
  ibrav = 0, nat = 4, ntyp = 3
/
ATOMIC_SPECIES
W 183.84 W.upf
Rh 102.91 Rh.upf
Ir 192.22 Ir.upf
CELL_PARAMETERS angstrom
-1.054 2.523 0.274
-2.050 -1.021 1.519
4.272 1.078 6.492
ATOMIC_POSITIONS crystal
W 0.500 0.500 0.749
Rh 0.000 0.000 0.501
Ir 0.000 0.000 0.000
Ir 0.500 0.500 0.249



*R*
! Ir2RhW | Alexandria | PBE | optimized geometry; values from VASP
! **Symmetry**: Cm (8)
&SYSTEM
  ibrav = 0, nat = 4, ntyp = 3
/
ATOMIC_SPECIES
Ir 192.22 Ir.upf
W 183.84 W.upf
Rh 102.91 Rh.upf
CELL_PARAMETERS angstrom
1.375 4.576 -0.001
-1.375 4.576 -0.001
0.000 0.820 4.703
ATOMIC_POSITIONS crystal
Ir 0.000 0.000 0.998
Ir 0.748 0.748 0.752
W 0.251 0.251 0.250
Rh 0.501 0.501 0.500



Most stable structure: *R*



*P*
! Ir2RhW | Alexandria | PBE | optimized geometry; values from VASP
! **Symmetry**: P2/m (10)
&SYSTEM
  ibrav = 0, nat = 4, ntyp = 3
/
ATOMIC_SPECIES
Rh 102.91 Rh.upf
Ir 192.22 Ir.upf
W 183.84 W.upf
CELL_PARAMETERS angstrom
-0.992 0.958 -2.392
-2.269 -4.134 -0.714
-4.374 0.192 1.891
ATOMIC_POSITIONS crystal
Rh 0.500 0.000 0.500
Ir 0.000 0.000 0.000
Ir 0.500 0.500 0.000
W 0.000 0.500 0.500



*Q*
! Ir2RhW | Alexandria | PBE | optimized geometry; values from VASP
! **Symmetry**: I-42d (122)
&SYSTEM
  ibrav = 0, nat = 8, ntyp = 3
/
ATOMIC_SPECIES
W 183.84 W.upf
Rh 102.91 Rh.upf
Ir 192.22 Ir.upf
CELL_PARAMETERS angstrom
5.785 0.000 0.000
0.000 5.785 0.000
2.892 2.892 5.252
ATOMIC_POSITIONS crystal
W 0.750 0.250 0.500
W 0.000 0.000 0.000
Rh 0.250 0.750 0.500
Rh 0.500 0.500 0.000
Ir 0.623 0.125 0.250
Ir 0.127 0.625 0.250
Ir 0.875 0.873 0.750
Ir 0.375 0.377 0.750



Most stable structure: *P*



*P*
! Ir2RhW | Alexandria | PBE | optimized geometry; values from VASP
! **Symmetry**: Pmm2 (25)
&SYSTEM
  ibrav = 0, nat = 4, ntyp = 3
/
ATOMIC_SPECIES
Ir 192.22 Ir.upf
Rh 102.91 Rh.upf
W 183.84 W.upf
CELL_PARAMETERS angstrom
2.741 0.000 0.000
0.000 3.922 0.000
0.000 0.000 5.494
ATOMIC_POSITIONS crystal
Ir 0.000 0.000 0.001
Ir 0.500 0.500 0.251
Rh 0.000 0.000 0.497
W 0.500 0.500 0.750



*Q*
! Ir2RhW | Alexandria | PBE | optimized geometry; values from VASP
! **Symmetry**: C2/m (12)
&SYSTEM
  ibrav = 0, nat = 4, ntyp = 3
/
ATOMIC_SPECIES
W 183.84 W.upf
Ir 192.22 Ir.upf
Rh 102.91 Rh.upf
CELL_PARAMETERS angstrom
1.377 4.582 0.001
-1.377 4.582 0.001
0.000 0.819 4.690
ATOMIC_POSITIONS crystal
W 0.500 0.500 0.000
Ir 0.753 0.753 0.250
Ir 0.247 0.247 0.750
Rh 0.000 0.000 0.500



Most stable structure: *P*